Record 1
Entry from Alexandria via LeMat-Bulk: a crystal of ZrZnIn relaxed with PBEsol (meta-GGA SCAN).

Results
Total energy   -26.255 eV per atom
ΔE_f   -0.388 eV/atom
Crystal system   trigonal
Space-group type   P3m1 (156)

POSCAR file:
```
ZrZnIn
1.0
4.506 0.000 0.000
-2.253 3.902 0.000
0.000 0.000 3.231
Zr Zn In
1 1 1
Cartesian
0.000 0.000 0.000
2.253 1.301 1.621
0.000 2.602 1.614
```

Record 2
Entry from Alexandria via LeMat-Bulk: a crystal of ZrZnIn relaxed with PBEsol (meta-GGA SCAN).

Results
Total energy   -25.769 eV per atom
ΔE_f   0.097 eV/atom
Crystal system   cubic
Space-group type   F-43m (216)

POSCAR file:
```
ZrZnIn
1.0
0.000 3.205 3.205
3.205 0.000 3.205
3.205 3.205 0.000
Zr Zn In
1 1 1
Cartesian
0.000 0.000 0.000
3.205 3.205 3.205
4.808 4.808 4.808
```

Record 3
Entry from Alexandria via LeMat-Bulk: a crystal of Zr5In3 relaxed with PBEsol (meta-GGA SCAN).

Results
Total energy   -32.061 eV per atom
ΔE_f   -0.354 eV/atom
Crystal system   orthorhombic
Space-group type   Cmmm (65)

POSCAR file:
```
Zr5In3
1.0
4.400 -4.402 0.000
4.400 4.402 0.000
0.000 0.000 4.414
Zr In
5 3
Cartesian
0.000 0.000 0.000
2.200 2.201 0.000
2.128 0.000 2.207
2.200 -2.201 0.000
6.673 0.000 2.207
4.400 2.200 2.207
4.400 0.000 0.000
4.400 -2.200 2.207
```